[1]
LiPRu2Br: optimized geometry, PBE-GGA.

Cell and atoms, written as POSCAR:
```
LiPRu2Br
1.0
4.573 0.000 0.000
0.000 4.573 0.000
0.000 0.000 4.975
Li P Ru Br
1 1 2 1
Cartesian
0.000 0.000 0.000
2.286 2.286 0.000
0.000 2.286 2.488
2.286 0.000 2.488
2.286 2.286 2.488
```

Output
- total DFT energy (no corrections) (eV per atom) = -4.0685
- magnetization (μB per formula unit) = 0.002
- formation energy from raw total energies (eV/atom) = 1.441
- V (Å³/atom) = 20.80
- symmetry = P4/mmm (123)



[2]
CaZrBr: optimized geometry, PBE-GGA.

Cell and atoms, written as POSCAR:
```
CaZrBr
1.0
4.943 0.000 0.000
-2.471 4.281 0.000
0.000 0.000 3.758
Ca Zr Br
1 1 1
Cartesian
0.000 0.000 0.000
2.471 1.427 1.879
0.000 2.854 1.879
```

Output
- total DFT energy (no corrections) (eV per atom) = -4.0932
- magnetization (μB per formula unit) = 0.000
- formation energy from raw total energies (eV/atom) = -0.019
- V (Å³/atom) = 26.50
- symmetry = P-6m2 (187)
- relative energy among the computed polymorphs (eV/atom) = 0.438



[3]
LiSc3Se4: optimized geometry, PBE-GGA.

Cell and atoms, written as POSCAR:
```
LiSc3Se4
1.0
-2.728 2.728 5.462
2.728 -2.728 5.462
2.728 2.728 -5.462
Li Sc Se
1 3 4
Cartesian
0.000 0.000 0.000
2.728 0.000 2.731
0.000 0.000 5.462
0.000 2.728 2.731
2.728 0.000 0.000
0.000 0.000 2.700
0.000 2.728 0.000
0.000 0.000 8.223
```

Output
- total DFT energy (no corrections) (eV per atom) = -5.9730
- magnetization (μB per formula unit) = 0.000
- formation energy from raw total energies (eV/atom) = -1.617
- V (Å³/atom) = 20.33
- symmetry = I4/mmm (139)
- relative energy among the computed polymorphs (eV/atom) = 0.000



[4]
ZnOsPt2: optimized geometry, PBE-GGA.

Cell and atoms, written as POSCAR:
```
ZnOsPt2
1.0
2.751 0.000 0.000
0.000 3.957 0.000
-0.017 0.000 5.465
Zn Os Pt
1 1 2
Cartesian
0.000 0.000 0.000
-0.009 0.000 2.732
1.371 1.979 1.383
1.362 1.979 4.082
```

Output
- total DFT energy (no corrections) (eV per atom) = -6.1994
- calculated formation energy (eV/atom) = -0.05
- magnetization (μB per formula unit) = 0.000
- V (Å³/atom) = 14.87
- symmetry = P2/m (10)